Below is crystalline Hf3PdC at its relaxed geometry, with properties calculated at the GGA-PBE level.

Cell: 4.4450 4.4450 4.4450 Å, 90.00 90.00 90.00°
Fractional coordinates of all 5 atoms:
1 Hf 0.0000 0.0000 0.5000
2 Hf 0.0000 0.5000 0.0000
3 Hf 0.5000 0.0000 0.0000
4 Pd 0.5000 0.5000 0.5000
5 C 0.0000 0.0000 0.0000

Output
excess energy over the best structure of this formula in the dataset: 173 meV/atom
energy of formation: -538 meV per atom
uncorrected energy: -9.394 eV/atom
space group: Pm-3m, No. 221
total moment: 0.00 μB per formula unit


Below is crystalline Th6TeRu2 at its relaxed geometry, with properties calculated at the GGA-PBE level.

Cell: 9.4386 9.4386 6.9116 Å, 108.10 108.10 68.23°
Fractional coordinates of all 18 atoms:
1 Th 0.0157 0.3896 0.7338
2 Th 0.0408 0.7906 0.8370
3 Th 0.2094 0.9592 0.6630
4 Th 0.3446 0.4434 0.5373
5 Th 0.3896 0.0157 0.2338
6 Th 0.4434 0.3446 0.0373
7 Th 0.5566 0.6554 0.9627
8 Th 0.6104 0.9843 0.7662
9 Th 0.6554 0.5566 0.4627
10 Th 0.7906 0.0408 0.3370
11 Th 0.9592 0.2094 0.1630
12 Th 0.9843 0.6104 0.2662
13 Te 0.2949 0.7051 0.2500
14 Te 0.7051 0.2949 0.7500
15 Ru 0.1861 0.2899 0.0987
16 Ru 0.2899 0.1861 0.5987
17 Ru 0.7101 0.8139 0.4013
18 Ru 0.8139 0.7101 0.9013

Output
formation energy from raw total energies: -309 meV per atom
uncorrected energy: -7.666 eV/atom
space group: C2/c, No. 15
total moment: 0.00 μB per formula unit


Below is crystalline Rb3Na2Hg4Au2 at its relaxed geometry, with properties calculated at the GGA-PBE level.

Cell: 5.0337 5.0337 18.3579 Å, 90.00 90.00 120.00°
Fractional coordinates of all 11 atoms:
1 Rb 0.0000 0.0000 0.0000
2 Rb 0.0000 0.0000 0.2504
3 Rb 0.0000 0.0000 0.7496
4 Na 0.3333 0.6667 0.5576
5 Na 0.6667 0.3333 0.4424
6 Hg 0.3333 0.6667 0.3772
7 Hg 0.3333 0.6667 0.8739
8 Hg 0.6667 0.3333 0.1261
9 Hg 0.6667 0.3333 0.6228
10 Au 0.3333 0.6667 0.1270
11 Au 0.6667 0.3333 0.8730

Output
energy of formation: -201 meV per atom
uncorrected energy: -1.410 eV/atom
space group: P-3m1, No. 164
total moment: 0.00 μB per formula unit


Below is crystalline La4DyN5 at its relaxed geometry, with properties calculated at the GGA-PBE level.

Cell: 6.3630 6.3630 6.3630 Å, 100.67 100.67 129.04°
Fractional coordinates of all 10 atoms:
1 La 0.1026 0.2984 0.4010
2 La 0.2984 0.8974 0.1958
3 La 0.7016 0.1026 0.8042
4 La 0.8974 0.7016 0.5990
5 Dy 0.5055 0.5055 0.0000
6 N 0.1641 0.5497 0.8054
7 N 0.3587 0.1641 0.6144
8 N 0.5497 0.7443 0.3856
9 N 0.7443 0.3587 0.1946
10 N 0.9222 0.9222 0.0000

Output
formation energy from raw total energies: -1380 meV per atom
uncorrected energy: -7.974 eV/atom
space group: I4, No. 79
total moment: 0.00 μB per formula unit


Below is crystalline Ga3Sn12Pb5 at its relaxed geometry, with properties calculated at the GGA-PBE level.

Cell: 15.1965 15.1965 15.1965 Å, 109.47 109.47 109.47°
Fractional coordinates of all 80 atoms:
1 Ga 0.1250 0.2500 0.3750
2 Ga 0.1250 0.3750 0.7500
3 Ga 0.2500 0.3750 0.1250
4 Ga 0.2500 0.8750 0.6250
5 Ga 0.3750 0.1250 0.2500
6 Ga 0.3750 0.7500 0.1250
7 Ga 0.6250 0.2500 0.8750
8 Ga 0.6250 0.8750 0.7500
9 Ga 0.7500 0.1250 0.3750
10 Ga 0.7500 0.6250 0.8750
11 Ga 0.8750 0.6250 0.2500
12 Ga 0.8750 0.7500 0.6250
13 Sn 0.0600 0.6395 0.3959
14 Sn 0.0600 0.9205 0.6641
15 Sn 0.0795 0.2436 0.1395
16 Sn 0.0795 0.3359 0.9400
17 Sn 0.1041 0.7436 0.6641
18 Sn 0.1041 0.8605 0.4400
19 Sn 0.1395 0.0795 0.2436
20 Sn 0.1395 0.5600 0.8959
21 Sn 0.1641 0.2436 0.6041
22 Sn 0.1641 0.4205 0.5600
23 Sn 0.2436 0.1395 0.0795
24 Sn 0.2436 0.6041 0.1641
25 Sn 0.2564 0.3359 0.8959
26 Sn 0.2564 0.4205 0.3605
27 Sn 0.3359 0.8959 0.2564
28 Sn 0.3359 0.9400 0.0795
29 Sn 0.3605 0.2564 0.4205
30 Sn 0.3605 0.6041 0.9400
31 Sn 0.3959 0.0600 0.6395
32 Sn 0.3959 0.8359 0.7564
33 Sn 0.4205 0.3605 0.2564
34 Sn 0.4205 0.5600 0.1641
35 Sn 0.4400 0.1041 0.8605
36 Sn 0.4400 0.8359 0.5795
37 Sn 0.5600 0.1641 0.4205
38 Sn 0.5600 0.8959 0.1395
39 Sn 0.5795 0.4400 0.8359
40 Sn 0.5795 0.6395 0.7436
41 Sn 0.6041 0.1641 0.2436
42 Sn 0.6041 0.9400 0.3605
43 Sn 0.6395 0.3959 0.0600
44 Sn 0.6395 0.7436 0.5795
45 Sn 0.6641 0.0600 0.9205
46 Sn 0.6641 0.1041 0.7436
47 Sn 0.7436 0.5795 0.6395
48 Sn 0.7436 0.6641 0.1041
49 Sn 0.7564 0.3959 0.8359
50 Sn 0.7564 0.8605 0.9205
51 Sn 0.8359 0.5795 0.4400
52 Sn 0.8359 0.7564 0.3959
53 Sn 0.8605 0.4400 0.1041
54 Sn 0.8605 0.9205 0.7564
55 Sn 0.8959 0.1395 0.5600
56 Sn 0.8959 0.2564 0.3359
57 Sn 0.9205 0.6641 0.0600
58 Sn 0.9205 0.7564 0.8605
59 Sn 0.9400 0.0795 0.3359
60 Sn 0.9400 0.3605 0.6041
61 Pb 0.0000 0.0000 0.0000
62 Pb 0.0000 0.0000 0.5000
63 Pb 0.0000 0.5000 0.0000
64 Pb 0.0000 0.5000 0.5000
65 Pb 0.1250 0.7500 0.8750
66 Pb 0.1250 0.8750 0.2500
67 Pb 0.2500 0.1250 0.8750
68 Pb 0.2500 0.6250 0.3750
69 Pb 0.3750 0.2500 0.6250
70 Pb 0.3750 0.6250 0.7500
71 Pb 0.5000 0.0000 0.0000
72 Pb 0.5000 0.0000 0.5000
73 Pb 0.5000 0.5000 0.0000
74 Pb 0.5000 0.5000 0.5000
75 Pb 0.6250 0.3750 0.2500
76 Pb 0.6250 0.7500 0.3750
77 Pb 0.7500 0.3750 0.6250
78 Pb 0.7500 0.8750 0.1250
79 Pb 0.8750 0.1250 0.7500
80 Pb 0.8750 0.2500 0.1250

Output
energy of formation: 207 meV per atom
uncorrected energy: -3.575 eV/atom
space group: Ia-3d, No. 230
total moment: 0.00 μB per formula unit


Below is crystalline SrZnTe2I at its relaxed geometry, with properties calculated at the GGA-PBE level.

Cell: 6.5325 6.5325 6.3595 Å, 90.00 90.00 90.00°
Fractional coordinates of all 5 atoms:
1 Sr 0.0000 0.0000 0.0000
2 Zn 0.5000 0.5000 0.5000
3 Te 0.0000 0.5000 0.0000
4 Te 0.5000 0.0000 0.0000
5 I 0.0000 0.0000 0.5000

Output
formation energy from raw total energies: -21 meV per atom
excess energy over the best structure of this formula in the dataset: 570 meV/atom
uncorrected energy: -2.178 eV/atom
space group: P4/mmm, No. 123
total moment: 3.03 μB per formula unit


Below is crystalline ScSbRh2 at its relaxed geometry, with properties calculated at the GGA-PBE level.

Cell: 6.7240 6.7240 6.7240 Å, 33.18 33.18 33.18°
Fractional coordinates of all 4 atoms:
1 Sc 0.0000 0.0000 0.0000
2 Sb 0.7862 0.7862 0.7862
3 Rh 0.2618 0.2618 0.2618
4 Rh 0.5241 0.5241 0.5241

Output
formation energy from raw total energies: -270 meV per atom
uncorrected energy: -6.559 eV/atom
space group: R3m, No. 160
total moment: 0.00 μB per formula unit


Below is crystalline KLa2Mg at its relaxed geometry, with properties calculated at the GGA-PBE level.

Cell: 3.4655 6.2695 6.7903 Å, 90.00 92.91 90.00°
Fractional coordinates of all 4 atoms:
1 K 0.0000 0.0000 0.0000
2 La 0.2312 0.5000 0.7058
3 La 0.7688 0.5000 0.2942
4 Mg 0.5000 0.0000 0.5000

Output
energy of formation: 229 meV per atom
uncorrected energy: -2.907 eV/atom
space group: P2/m, No. 10
total moment: 0.00 μB per formula unit